Entry 1:
Below is crystalline Sr4MgTl at its relaxed geometry, with properties calculated at the GGA-PBE level.

Properties
Energy above the most stable polymorph in this dataset, eV per formula unit: 0.00

CIF file:
```
data_Sr4MgTl
_symmetry_space_group_name_H-M 'P 4/m m m'
_symmetry_Int_Tables_number 123
_symmetry_space_group_name_Hall '-P 4 2'
_cell_length_a 4.1691
_cell_length_b 4.1691
_cell_length_c 14.4578
_cell_angle_alpha 90.00
_cell_angle_beta 90.00
_cell_angle_gamma 90.00
loop_
_atom_site_label
_atom_site_type_symbol
_atom_site_fract_x
_atom_site_fract_y
_atom_site_fract_z
Sr1 Sr 0.0000 0.0000 0.1338
Sr2 Sr 0.5000 0.5000 0.3557
Mg1 Mg 0.0000 0.0000 0.5000
Tl1 Tl 0.5000 0.5000 0.0000
```

***

Entry 2:
Below is crystalline SrMg2Tl at its relaxed geometry, with properties calculated at the GGA-PBE level.

Properties
Energy above the most stable polymorph in this dataset, eV per formula unit: 0.22

CIF file:
```
data_SrMg2Tl
_symmetry_space_group_name_H-M 'P 1 m 1'
_symmetry_Int_Tables_number 6
_cell_length_a 3.6410
_cell_length_b 4.9214
_cell_length_c 6.8559
_cell_angle_alpha 90.00
_cell_angle_beta 105.26
_cell_angle_gamma 90.00
loop_
_symmetry_equiv_pos_as_xyz
'x,y,z'
'x,-y,z'
loop_
_atom_site_label
_atom_site_type_symbol
_atom_site_fract_x
_atom_site_fract_y
_atom_site_fract_z
Sr1 Sr 0.0000 0.0000 0.0000
Mg1 Mg 0.3216 0.5000 0.6448
Mg2 Mg 0.7404 0.0000 0.4832
Tl1 Tl 0.6145 0.5000 0.2309
```

***

Entry 3:
Below is crystalline Sr3MgTl at its relaxed geometry, with properties calculated at the GGA-PBE level.

Properties
Energy above the most stable polymorph in this dataset, eV per formula unit: 1.49

CIF file:
```
data_Sr3MgTl
_symmetry_space_group_name_H-M 'P m -3 m'
_symmetry_Int_Tables_number 221
_symmetry_space_group_name_Hall '-P 4 2 3'
_cell_length_a 6.3829
_cell_length_b 6.3829
_cell_length_c 6.3829
_cell_angle_alpha 90.00
_cell_angle_beta 90.00
_cell_angle_gamma 90.00
loop_
_atom_site_label
_atom_site_type_symbol
_atom_site_fract_x
_atom_site_fract_y
_atom_site_fract_z
Sr1 Sr 0.0000 0.0000 0.5000
Mg1 Mg 0.5000 0.5000 0.5000
Tl1 Tl 0.0000 0.0000 0.0000
```

***

Entry 4:
Below is crystalline SrMgTl3 at its relaxed geometry, with properties calculated at the GGA-PBE level.

CIF file:
```
data_SrMgTl3
_symmetry_space_group_name_H-M 'P m -3 m'
_symmetry_Int_Tables_number 221
_symmetry_space_group_name_Hall '-P 4 2 3'
_cell_length_a 6.2429
_cell_length_b 6.2429
_cell_length_c 6.2429
_cell_angle_alpha 90.00
_cell_angle_beta 90.00
_cell_angle_gamma 90.00
loop_
_atom_site_label
_atom_site_type_symbol
_atom_site_fract_x
_atom_site_fract_y
_atom_site_fract_z
Sr1 Sr 0.0000 0.0000 0.0000
Mg1 Mg 0.5000 0.5000 0.5000
Tl1 Tl 0.0000 0.0000 0.5000
```

***

Entry 5:
Below is crystalline Sr2TmMg2Tl5 at its relaxed geometry, with properties calculated at the GGA-PBE level.

CIF file:
```
data_Sr2TmMg2Tl5
_symmetry_space_group_name_H-M 'P 4/m b m'
_symmetry_Int_Tables_number 127
_symmetry_space_group_name_Hall '-P 4 2ab'
_cell_length_a 11.6737
_cell_length_b 11.6737
_cell_length_c 4.2789
_cell_angle_alpha 90.00
_cell_angle_beta 90.00
_cell_angle_gamma 90.00
loop_
_atom_site_label
_atom_site_type_symbol
_atom_site_fract_x
_atom_site_fract_y
_atom_site_fract_z
Sr1 Sr 0.1733 0.3267 0.0000
Tm1 Tm 0.0000 0.0000 0.0000
Mg1 Mg 0.1242 0.6242 0.0000
Tl1 Tl 0.0000 0.5000 0.5000
Tl2 Tl 0.0678 0.7996 0.5000
```

***

Entry 6:
Below is crystalline SrYMg2Tl4 at its relaxed geometry, with properties calculated at the GGA-PBE level.

CIF file:
```
data_SrYMg2Tl4
_symmetry_space_group_name_H-M 'R -3 m'
_symmetry_Int_Tables_number 166
_symmetry_space_group_name_Hall '-R 3 2"'
_cell_length_a 5.2927
_cell_length_b 5.2927
_cell_length_c 27.1478
_cell_angle_alpha 90.00
_cell_angle_beta 90.00
_cell_angle_gamma 120.00
loop_
_atom_site_label
_atom_site_type_symbol
_atom_site_fract_x
_atom_site_fract_y
_atom_site_fract_z
Sr1 Sr 0.0000 0.0000 0.0000
Y1 Y 0.0000 0.0000 0.5000
Mg1 Mg 0.0000 0.0000 0.2469
Tl1 Tl 0.0000 0.0000 0.1256
Tl2 Tl 0.0000 0.0000 0.3807
```

***

Entry 7:
Below is crystalline SrYMgTl at its relaxed geometry, with properties calculated at the GGA-PBE level.

Properties
Energy above the most stable polymorph in this dataset, eV per formula unit: 0.15

CIF file:
```
data_SrYMgTl
_symmetry_space_group_name_H-M 'F -4 3 m'
_symmetry_Int_Tables_number 216
_symmetry_space_group_name_Hall 'F -4 2 3'
_cell_length_a 7.8787
_cell_length_b 7.8787
_cell_length_c 7.8787
_cell_angle_alpha 90.00
_cell_angle_beta 90.00
_cell_angle_gamma 90.00
loop_
_atom_site_label
_atom_site_type_symbol
_atom_site_fract_x
_atom_site_fract_y
_atom_site_fract_z
Sr1 Sr 0.0000 0.0000 0.0000
Y1 Y 0.0000 0.0000 0.5000
Mg1 Mg 0.2500 0.2500 0.2500
Tl1 Tl 0.2500 0.2500 0.7500
```

***

Entry 8:
Below is crystalline SrYMgTl at its relaxed geometry, with properties calculated at the GGA-PBE level.

Properties
Energy above the most stable polymorph in this dataset, eV per formula unit: 0.00

CIF file:
```
data_SrYMgTl
_symmetry_space_group_name_H-M 'P 4 m m'
_symmetry_Int_Tables_number 99
_cell_length_a 3.9388
_cell_length_b 3.9388
_cell_length_c 7.9915
_cell_angle_alpha 90.00
_cell_angle_beta 90.00
_cell_angle_gamma 90.00
loop_
_symmetry_equiv_pos_as_xyz
'x,y,z'
'-y,x,z'
'-x,-y,z'
'y,-x,z'
'-x,y,z'
'y,x,z'
'x,-y,z'
'-y,-x,z'
loop_
_atom_site_label
_atom_site_type_symbol
_atom_site_fract_x
_atom_site_fract_y
_atom_site_fract_z
Sr1 Sr 0.0000 0.0000 0.0000
Y1 Y 0.0000 0.0000 0.4941
Mg1 Mg 0.5000 0.5000 0.7142
Tl1 Tl 0.5000 0.5000 0.2735
```

***

Entry 9:
Below is crystalline SrMg2Tl4Zn at its relaxed geometry, with properties calculated at the GGA-PBE level.

CIF file:
```
data_SrMg2Tl4Zn
_symmetry_space_group_name_H-M 'R -3 m'
_symmetry_Int_Tables_number 166
_symmetry_space_group_name_Hall '-R 3 2"'
_cell_length_a 5.1877
_cell_length_b 5.1877
_cell_length_c 27.8306
_cell_angle_alpha 90.00
_cell_angle_beta 90.00
_cell_angle_gamma 120.00
loop_
_atom_site_label
_atom_site_type_symbol
_atom_site_fract_x
_atom_site_fract_y
_atom_site_fract_z
Sr1 Sr 0.0000 0.0000 0.0000
Mg1 Mg 0.0000 0.0000 0.2486
Tl1 Tl 0.0000 0.0000 0.1300
Tl2 Tl 0.0000 0.0000 0.3923
Zn1 Zn 0.0000 0.0000 0.5000
```

***

Entry 10:
Below is crystalline Sr2Mg12TlZn3 at its relaxed geometry, with properties calculated at the GGA-PBE level.

CIF file:
```
data_Sr2Mg12TlZn3
_symmetry_space_group_name_H-M 'R -3 m'
_symmetry_Int_Tables_number 166
_symmetry_space_group_name_Hall '-R 3 2"'
_cell_length_a 9.5859
_cell_length_b 9.5859
_cell_length_c 20.6001
_cell_angle_alpha 90.00
_cell_angle_beta 90.00
_cell_angle_gamma 120.00
loop_
_atom_site_label
_atom_site_type_symbol
_atom_site_fract_x
_atom_site_fract_y
_atom_site_fract_z
Sr1 Sr 0.0000 0.0000 0.0944
Mg1 Mg 0.0151 0.5076 0.8724
Mg2 Mg 0.0556 0.5278 0.3500
Tl1 Tl 0.0000 0.0000 0.5000
Zn1 Zn 0.0000 0.5000 0.0000
```

***

Entry 11:
Below is crystalline Sr2MgTl6Zn at its relaxed geometry, with properties calculated at the GGA-PBE level.

CIF file:
```
data_Sr2MgTl6Zn
_symmetry_space_group_name_H-M 'P -1'
_symmetry_Int_Tables_number 2
_cell_length_a 6.3385
_cell_length_b 7.5505
_cell_length_c 7.6996
_cell_angle_alpha 74.88
_cell_angle_beta 65.75
_cell_angle_gamma 66.28
loop_
_symmetry_equiv_pos_as_xyz
'x,y,z'
'-x,-y,-z'
loop_
_atom_site_label
_atom_site_type_symbol
_atom_site_fract_x
_atom_site_fract_y
_atom_site_fract_z
Sr1 Sr 0.0077 0.2459 0.2409
Mg1 Mg 0.5000 0.0000 0.5000
Tl1 Tl 0.0033 0.6949 0.3047
Tl2 Tl 0.3390 0.9094 0.9164
Tl3 Tl 0.4976 0.3147 0.6958
Zn1 Zn 0.5000 0.5000 0.0000
```

***

Entry 12:
Below is crystalline SrTmMg2 at its relaxed geometry, with properties calculated at the GGA-PBE level.

Properties
Energy above the most stable polymorph in this dataset, eV per formula unit: 0.00

CIF file:
```
data_SrTmMg2
_symmetry_space_group_name_H-M 'P 4/m m m'
_symmetry_Int_Tables_number 123
_symmetry_space_group_name_Hall '-P 4 2'
_cell_length_a 3.9478
_cell_length_b 3.9478
_cell_length_c 8.0047
_cell_angle_alpha 90.00
_cell_angle_beta 90.00
_cell_angle_gamma 90.00
loop_
_atom_site_label
_atom_site_type_symbol
_atom_site_fract_x
_atom_site_fract_y
_atom_site_fract_z
Sr1 Sr 0.0000 0.0000 0.0000
Tm1 Tm 0.0000 0.0000 0.5000
Mg1 Mg 0.5000 0.5000 0.2862
```

***

Energy relative to the elements / eV/f.u.: -1.014 -0.507 0.449 3.048 -2.328 -2.000 -0.821 -0.969 -0.851 4.315 -1.172 -0.113